[1]
Crystalline Li2Cd2Pt at its relaxed geometry, computed with GGA-PBE.

Polymorph energy (0 for the lowest one) ... 0.2187 eV per atom
ρ ... 8.95 g/cm³
Fermi-level density of states ... 0.45 states/eV/atom
Crystal system ... tetragonal
Formation energy from the elements ... -0.185 eV per atom

Cell lengths 7.243, 7.243, 3.067 Å; angles 90.00, 90.00, 90.00 degrees
Sites, in units of the cell vectors:
1 Li 0.135 0.365 0.000
2 Li 0.365 0.865 0.000
3 Li 0.635 0.135 0.000
4 Li 0.865 0.635 0.000
5 Cd 0.163 0.663 0.500
6 Cd 0.337 0.163 0.500
7 Cd 0.663 0.837 0.500
8 Cd 0.837 0.337 0.500
9 Pt 0.000 0.000 0.000
10 Pt 0.500 0.500 0.000

[2]
Crystalline Li5Cd5Pt2 at its relaxed geometry, computed with GGA-PBE.

ρ ... 7.89 g/cm³
Fermi-level density of states ... 0.33 states/eV/atom
Crystal system ... monoclinic
Formation energy from the elements ... -0.334 eV per atom

Cell lengths 7.164, 7.164, 7.988 Å; angles 121.56, 121.56, 37.46 degrees
Sites, in units of the cell vectors:
1 Li 0.000 0.000 0.000
2 Li 0.073 0.073 0.407
3 Li 0.248 0.248 0.200
4 Li 0.752 0.752 0.800
5 Li 0.927 0.927 0.593
6 Cd 0.312 0.312 0.644
7 Cd 0.407 0.407 0.072
8 Cd 0.500 0.500 0.500
9 Cd 0.593 0.593 0.928
10 Cd 0.688 0.688 0.356
11 Pt 0.152 0.152 0.793
12 Pt 0.848 0.848 0.207

[3]
Crystalline Li2CdPt at its relaxed geometry, computed with GGA-PBE.

ρ ... 7.57 g/cm³
Fermi-level density of states ... 0.36 states/eV/atom
Crystal system ... orthorhombic
Formation energy from the elements ... -0.189 eV per atom

Cell lengths 5.821, 5.821, 5.821 Å; angles 150.77, 132.57, 56.69 degrees
Sites, in units of the cell vectors:
1 Li 0.235 0.235 0.000
2 Li 0.765 0.765 0.000
3 Cd 0.500 0.500 0.000
4 Pt 0.000 0.000 0.000

[4]
Crystalline Li2CdPt at its relaxed geometry, computed with GGA-PBE.

ρ ... 7.58 g/cm³
Fermi-level density of states ... 0.32 states/eV/atom
Crystal system ... tetragonal
Formation energy from the elements ... -0.236 eV per atom

Cell lengths 9.646, 9.646, 9.646 Å; angles 156.66, 156.66, 33.24 degrees
Sites, in units of the cell vectors:
1 Li 0.093 0.625 0.968
2 Li 0.375 0.343 0.468
3 Li 0.657 0.125 0.032
4 Li 0.875 0.907 0.532
5 Cd 0.250 0.750 0.500
6 Cd 0.500 0.500 0.000
7 Pt 0.000 0.000 0.000
8 Pt 0.750 0.250 0.500